No. 1
This record from the Alexandria database describes a geometry-optimized Tc5Ag structure. The functional is PBE.

Cell and atoms, written as CIF:
```
data_Tc5Ag
_chemical_formula_sum 'Tc10 Ag2'
_cell_length_a 10.1240
_cell_length_b 2.7846
_cell_length_c 6.5870
_cell_angle_alpha 90.00
_cell_angle_beta 104.74
_cell_angle_gamma 90.00
_space_group_name_H-M_alt 'C 1 m 1'
_space_group_IT_number 8
_space_group_name_Hall 'C -2y'
loop_
_atom_site_label
_atom_site_type_symbol
_atom_site_fract_x
_atom_site_fract_y
_atom_site_fract_z
Tc1 Tc 0.0000 0.0000 0.0000
Tc2 Tc 0.0469 0.0000 0.6224
Tc3 Tc 0.2251 0.5000 0.9451
Tc4 Tc 0.3388 0.0000 0.6879
Tc5 Tc 0.3897 0.0000 0.2748
Ag1 Ag 0.1690 0.5000 0.3454
```

The value obtained for the density is 11.056 Mg/m³. For the raw total energy, the calculation gives -8.87 eV per atom. The calculation puts the polymorph energy (0 for the lowest one) at 29 meV/atom. The density of states at the Fermi level is 1.0823 states/eV/atom. As for the total magnetic moment: 0.00 μB per atom. For the formation energy, the calculation gives 0.240 eV per atom.

---

No. 2
This record from the Alexandria database describes a geometry-optimized UNi10Mo2 structure. The functional is PBE.

Cell and atoms, written as CIF:
```
data_UNi10Mo2
_chemical_formula_sum 'U4 Ni40 Mo8'
_cell_length_a 4.8475
_cell_length_b 11.5119
_cell_length_c 12.1764
_cell_angle_alpha 90.00
_cell_angle_beta 90.00
_cell_angle_gamma 90.00
_space_group_name_H-M_alt 'F m m m'
_space_group_IT_number 69
_space_group_name_Hall '-F 2 2'
loop_
_atom_site_label
_atom_site_type_symbol
_atom_site_fract_x
_atom_site_fract_y
_atom_site_fract_z
U1 U 0.0000 0.0000 0.0000
Ni1 Ni 0.0000 0.1086 0.3985
Ni2 Ni 0.0000 0.1825 0.1701
Ni3 Ni 0.2500 0.2500 0.0000
Mo1 Mo 0.2500 0.0000 0.2500
```

The value obtained for the density is 9.940 Mg/m³. For the raw total energy, the calculation gives -6.96 eV per atom. The density of states at the Fermi level is 1.4270 states/eV/atom. As for the total magnetic moment: 0.07 μB per atom. For the formation energy, the calculation gives 0.026 eV per atom.

---

No. 3
This record from the Alexandria database describes a geometry-optimized Pu2Al4CuPt3 structure. The functional is PBE.

Cell and atoms, written as CIF:
```
data_Pu2Al4CuPt3
_chemical_formula_sum 'Pu2 Al4 Cu1 Pt3'
_cell_length_a 4.2091
_cell_length_b 4.2091
_cell_length_c 10.5471
_cell_angle_alpha 90.00
_cell_angle_beta 90.00
_cell_angle_gamma 90.00
_space_group_name_H-M_alt 'P -4 m 2'
_space_group_IT_number 115
_space_group_name_Hall 'P -4 -2'
loop_
_atom_site_label
_atom_site_type_symbol
_atom_site_fract_x
_atom_site_fract_y
_atom_site_fract_z
Pu1 Pu 0.0000 0.5000 0.2474
Al1 Al 0.0000 0.0000 0.5000
Al2 Al 0.0000 0.5000 0.8736
Al3 Al 0.5000 0.5000 0.5000
Cu1 Cu 0.5000 0.5000 0.0000
Pt1 Pt 0.0000 0.0000 0.0000
Pt2 Pt 0.0000 0.5000 0.6365
```

The value obtained for the density is 11.062 Mg/m³. For the raw total energy, the calculation gives -7.35 eV per atom. The density of states at the Fermi level is 2.8292 states/eV/atom. As for the total magnetic moment: 1.10 μB per atom. For the formation energy, the calculation gives -0.760 eV per atom.

---

No. 4
This record from the Alexandria database describes a geometry-optimized ZrCrGa2 structure. The functional is PBE.

Cell and atoms, written as CIF:
```
data_ZrCrGa2
_chemical_formula_sum 'Zr3 Cr3 Ga6'
_cell_length_a 4.2161
_cell_length_b 4.2161
_cell_length_c 13.5136
_cell_angle_alpha 90.00
_cell_angle_beta 90.00
_cell_angle_gamma 120.00
_space_group_name_H-M_alt 'R -3 m'
_space_group_IT_number 166
_space_group_name_Hall '-R 3 2"'
loop_
_atom_site_label
_atom_site_type_symbol
_atom_site_fract_x
_atom_site_fract_y
_atom_site_fract_z
Zr1 Zr 0.0000 0.0000 0.0000
Cr1 Cr 0.0000 0.0000 0.5000
Ga1 Ga 0.0000 0.0000 0.2275
```

The value obtained for the density is 6.769 Mg/m³. For the raw total energy, the calculation gives -6.23 eV per atom. The density of states at the Fermi level is 0.6856 states/eV/atom. As for the total magnetic moment: 0.61 μB per atom. For the formation energy, the calculation gives -0.173 eV per atom.